[1]
A plane-wave DFT calculation with PBE was carried out for a relaxed structure of Ag2PtRh.

Summary:
Total DFT energy (no corrections): -4.555 eV per atom
Formation enthalpy at 0 K: 0.219 eV/atom

a b c (Å): 3.9105 3.9105 4.2683
angles (deg): 90.00 90.00 90.00
Space group P4/mmm (No. 123)
Unique sites:
1 Ag 0.0000 0.5000 0.0000
2 Pt 0.0000 0.0000 0.5000
3 Rh 0.5000 0.5000 0.5000

---

[2]
A plane-wave DFT calculation with PBE was carried out for a relaxed structure of AgPtRh2.

Summary:
Total DFT energy (no corrections): -5.697 eV per atom
Formation enthalpy at 0 K: 0.202 eV/atom

a b c (Å): 2.7710 4.7334 9.5218
angles (deg): 90.00 90.00 90.00
Space group Imm2 (No. 44)
Unique sites:
1 Ag 0.0000 0.0000 0.0000
2 Pt 0.0000 0.5000 0.2362
3 Rh 0.0000 0.0000 0.4935
4 Rh 0.0000 0.5000 0.7616

---

[3]
A plane-wave DFT calculation with PBE was carried out for a relaxed structure of Ag2PtRh.

Summary:
Total DFT energy (no corrections): -4.465 eV per atom
Formation enthalpy at 0 K: 0.309 eV/atom

a b c (Å): 4.8495 4.8495 2.8046
angles (deg): 90.00 90.00 90.00
Space group P4/mmm (No. 123)
Unique sites:
1 Ag 0.0000 0.5000 0.0000
2 Pt 0.0000 0.0000 0.5000
3 Rh 0.5000 0.5000 0.5000

---

[4]
A plane-wave DFT calculation with PBE was carried out for a relaxed structure of AgPt2Rh.

Summary:
Total DFT energy (no corrections): -5.523 eV per atom
Formation enthalpy at 0 K: 0.048 eV/atom

a b c (Å): 5.5881 8.0807 2.7746
angles (deg): 90.00 90.00 90.00
Space group Cmmm (No. 65)
Unique sites:
1 Ag 0.0000 0.0000 0.0000
2 Pt 0.2500 0.2500 0.5000
3 Rh 0.0000 0.5000 0.0000